# 1
VASP calculation (GGA-PBE) on crystalline Zn2CoAgH at its relaxed geometry.

Calculated values
* relative energy among the computed polymorphs: 1.29 eV per formula unit
* SG: P4/mmm (123)
* total moment: 1.117 μB per cell

Cell lengths 4.0373, 4.0373, 3.7437 Å; angles 90.00, 90.00, 90.00 degrees
With the nearest neighbours (Å) after each atom.
Fractional positions:
Zn1 0.0000 0.5000 0.0000  2 H 2.02
Zn2 0.5000 0.0000 0.0000  2 H 2.02
Co1 0.0000 0.0000 0.5000  8 Zn 2.75, 4 Ag 2.85
Ag1 0.5000 0.5000 0.5000  2 H 1.87
H1 0.5000 0.5000 0.0000  2 Ag 1.87, 4 Zn 2.02

***

# 2
VASP calculation (GGA-PBE) on crystalline Zn2CoAgH at its relaxed geometry.

Calculated values
* relative energy among the computed polymorphs: 0.00 eV per formula unit
* SG: P4/mmm (123)
* total moment: 0.001 μB per cell

Cell lengths 4.2877, 4.2877, 3.2027 Å; angles 90.00, 90.00, 90.00 degrees
With the nearest neighbours (Å) after each atom.
Fractional positions:
Zn1 0.0000 0.5000 0.0000  2 H 2.14
Zn2 0.5000 0.0000 0.0000  2 H 2.14
Co1 0.0000 0.0000 0.5000  2 H 1.60
Ag1 0.5000 0.5000 0.5000  8 Zn 2.68
H1 0.0000 0.0000 0.0000  2 Co 1.60

***

# 3
VASP calculation (GGA-PBE) on crystalline ZnCoAg2H at its relaxed geometry.

Calculated values
* E_tot: -2.984 eV/atom
* SG: P4/mmm (123)
* total moment: 1.032 μB per cell

Cell lengths 5.0466, 5.0466, 2.9260 Å; angles 90.00, 90.00, 90.00 degrees
With the nearest neighbours (Å) after each atom.
Fractional positions:
Zn1 0.0000 0.0000 0.0000  8 Ag 2.92, 2 Zn 2.93
Co1 0.5000 0.5000 0.5000  2 H 1.46
Ag1 0.0000 0.5000 0.5000  2 Co 2.52
Ag2 0.5000 0.0000 0.5000  2 Co 2.52
H1 0.5000 0.5000 0.0000  2 Co 1.46

***

# 4
VASP calculation (GGA-PBE) on crystalline HfCoAg2 at its relaxed geometry.

Calculated values
* relative energy among the computed polymorphs: 0.00 eV per formula unit
* SG: Fm-3m (225)
* E_form: 0.2788 eV per atom
* total moment: 1.560 μB per cell

Cell lengths 4.5829, 4.5829, 4.5829 Å; angles 60.00, 60.00, 60.00 degrees
With the nearest neighbours (Å) after each atom.
Fractional positions:
Hf1 0.0000 0.0000 0.0000  8 Ag 2.81
Co1 0.5000 0.5000 0.5000  8 Ag 2.81
Ag1 0.2500 0.2500 0.2500  4 Hf 2.81, 4 Co 2.81
Ag2 0.7500 0.7500 0.7500  4 Hf 2.81, 4 Co 2.81

***

# 5
VASP calculation (GGA-PBE) on crystalline Hf2Co2Ag at its relaxed geometry.

Calculated values
* relative energy among the computed polymorphs: 0.00 eV per formula unit
* SG: P4/mbm (127)
* E_form: -0.2740 eV per atom
* total moment: 0.000 μB per cell

Cell lengths 7.1163, 7.1163, 3.1864 Å; angles 90.00, 90.00, 90.00 degrees
With the nearest neighbours (Å) after each atom.
Fractional positions:
Hf1 0.1619 0.3381 0.0000  6 Co 2.61-2.64
Hf2 0.3381 0.8381 0.0000  6 Co 2.61-2.64
Hf3 0.6619 0.1619 0.0000  6 Co 2.61-2.64
Hf4 0.8381 0.6619 0.0000  6 Co 2.61-2.64
Co1 0.1328 0.6328 0.5000  6 Hf 2.61-2.64, 1 Co 2.67, 2 Ag 2.78
Co2 0.3672 0.1328 0.5000  6 Hf 2.61-2.64, 1 Co 2.67, 2 Ag 2.78
Co3 0.6328 0.8672 0.5000  6 Hf 2.61-2.64, 1 Co 2.67, 2 Ag 2.78
Co4 0.8672 0.3672 0.5000  6 Hf 2.61-2.64, 1 Co 2.67, 2 Ag 2.78
Ag1 0.0000 0.0000 0.5000  4 Co 2.78, 8 Hf 3.11
Ag2 0.5000 0.5000 0.5000  4 Co 2.78, 8 Hf 3.11

***

# 6
VASP calculation (GGA-PBE) on crystalline HfCoAg2 at its relaxed geometry.

Calculated values
* relative energy among the computed polymorphs: 0.06 eV per formula unit
* SG: I-42d (122)
* E_form: 0.2931 eV per atom
* total moment: 0.000 μB per cell

Cell lengths 10.4446, 10.4446, 10.4446 Å; angles 159.39, 159.39, 29.31 degrees
With the nearest neighbours (Å) after each atom.
Fractional positions:
Hf1 0.0000 0.0000 0.0000  4 Co 2.64, 4 Ag 2.86
Hf2 0.7500 0.2500 0.5000  4 Co 2.64, 4 Ag 2.86
Co1 0.2500 0.7500 0.5000  4 Hf 2.64, 4 Ag 2.84
Co2 0.5000 0.5000 0.0000  4 Hf 2.64, 4 Ag 2.84
Ag1 0.1347 0.6250 0.0097  4 Ag 2.59-2.69, 2 Co 2.84, 2 Hf 2.86
Ag2 0.3750 0.3847 0.5097  4 Ag 2.59-2.69, 2 Co 2.84, 2 Hf 2.86
Ag3 0.6153 0.1250 0.9903  4 Ag 2.59-2.69, 2 Co 2.84, 2 Hf 2.86
Ag4 0.8750 0.8653 0.4903  4 Ag 2.59-2.69, 2 Co 2.84, 2 Hf 2.86